Cd2NiGeO4 GGA+U relaxed; energy = -36.8 eV per cell; spin magnetization = 1.00 μB per formula unit
1.0
-4.3542 -2.3085 0.7010
0.6668 -2.5373 -4.2305
4.0698 -1.0388 4.1918
Cd Ni Ge O
2 1 1 4
direct
0.7501 0.2501 0.5002 Cd
0.2501 0.7501 0.5002 Cd
0.9996 0.9996 0.9993 Ni
0.5002 0.5002 0.0003 Ge
0.6171 0.6171 0.7986 O
0.3830 0.8187 0.2016 O
0.8187 0.3830 0.2016 O
0.1815 0.1815 0.7986 O